The following is a DFT calculation (PBE-GGA) of LaGd2Dy after structural relaxation.

**N(E_F)**: 7.49 states/eV/f.u.
**E_form**: 0.1 eV/f.u.
**Total moment**: 3.694 μB per atom
**E_tot**: -9.393 eV/atom
**E above lowest polymorph**: 4.2 meV per atom
**Mass density**: 7.7 Mg/m³

Lattice parameters (Å, degrees): 3.619 3.619 10.201 90.00 90.00 90.00
Sites, in units of the cell vectors:
1 La 0.000 0.000 0.000
2 Gd 0.500 0.500 0.257
3 Gd 0.500 0.500 0.743
4 Dy 0.000 0.000 0.500



The following is a DFT calculation (PBE-GGA) of LiYSn after structural relaxation.

**N(E_F)**: 1.73 states/eV/f.u.
**E_form**: -1.4 eV/f.u.
**Total moment**: 0.000 μB per atom
**E_tot**: -4.581 eV/atom
**Mass density**: 4.9 Mg/m³

Lattice parameters (Å, degrees): 4.698 4.417 7.435 90.00 108.22 90.00
Sites, in units of the cell vectors:
1 Li 0.000 0.000 0.000
2 Li 0.160 0.500 0.319
3 Y 0.345 0.000 0.692
4 Y 0.659 0.000 0.318
5 Sn 0.510 0.500 0.010
6 Sn 0.819 0.500 0.640



The following is a DFT calculation (PBE-GGA) of PrY2ScSb4 after structural relaxation.

**N(E_F)**: 1.15 states/eV/f.u.
**Total moment**: 0.000 μB per atom
**Uncorrected formation energy**: -1.08 eV per atom
**E_tot**: -6.151 eV/atom
**Mass density**: 5.9 Mg/m³

Lattice parameters (Å, degrees): 7.585 4.389 7.599 90.00 109.50 90.00
Sites, in units of the cell vectors:
1 Pr 0.000 0.000 0.000
2 Y 0.000 0.500 0.500
3 Y 0.500 0.000 0.500
4 Sc 0.500 0.500 0.000
5 Sb 0.262 0.500 0.252
6 Sb 0.264 0.000 0.757
7 Sb 0.736 0.000 0.243
8 Sb 0.738 0.500 0.748



The following is a DFT calculation (PBE-GGA) of K2SmOs3O12 after structural relaxation.

**N(E_F)**: 8.75 states/eV/f.u.
**Total moment**: 0.106 μB per atom
**Uncorrected formation energy**: -1.46 eV per atom
**E_tot**: -7.021 eV/atom
**Mass density**: 5.7 Mg/m³

Lattice parameters (Å, degrees): 7.482 7.482 7.482 58.90 58.90 58.90
Sites, in units of the cell vectors:
1 K 0.134 0.134 0.134
2 K 0.866 0.866 0.866
3 Sm 0.500 0.500 0.500
4 Os 0.000 0.500 0.500
5 Os 0.500 0.000 0.500
6 Os 0.500 0.500 0.000
7 O 0.122 0.591 0.591
8 O 0.203 0.203 0.579
9 O 0.203 0.579 0.203
10 O 0.409 0.409 0.878
11 O 0.409 0.878 0.409
12 O 0.421 0.797 0.797
13 O 0.579 0.203 0.203
14 O 0.591 0.122 0.591
15 O 0.591 0.591 0.122
16 O 0.797 0.421 0.797
17 O 0.797 0.797 0.421
18 O 0.878 0.409 0.409



The following is a DFT calculation (PBE-GGA) of Cs2PmInO4 after structural relaxation.

**N(E_F)**: 0.00 states/eV/f.u.
**Total moment**: 0.000 μB per atom
**Uncorrected formation energy**: -1.99 eV per atom
**E_tot**: -5.622 eV/atom
**Mass density**: 5.1 Mg/m³

Lattice parameters (Å, degrees): 6.508 6.508 6.508 120.80 120.80 88.62
Sites, in units of the cell vectors:
1 Cs 0.000 0.000 0.000
2 Cs 0.750 0.250 0.500
3 Pm 0.500 0.500 0.000
4 In 0.250 0.750 0.500
5 O 0.239 0.112 0.609
6 O 0.370 0.761 0.873
7 O 0.502 0.630 0.391
8 O 0.888 0.498 0.127



The following is a DFT calculation (PBE-GGA) of TlCdAs2O6 after structural relaxation.

**N(E_F)**: 1.83 states/eV/f.u.
**Total moment**: 0.000 μB per atom
**Uncorrected formation energy**: -1.04 eV per atom
**E_tot**: -5.269 eV/atom
**Mass density**: 5.0 Mg/m³

Lattice parameters (Å, degrees): 7.931 7.931 6.392 106.24 106.24 88.51
Sites, in units of the cell vectors:
1 Tl 0.119 0.881 0.750
2 Tl 0.881 0.119 0.250
3 Cd 0.253 0.747 0.250
4 Cd 0.747 0.253 0.750
5 As 0.222 0.367 0.858
6 As 0.367 0.222 0.358
7 As 0.633 0.778 0.642
8 As 0.778 0.633 0.142
9 O 0.032 0.235 0.719
10 O 0.182 0.587 0.898
11 O 0.235 0.032 0.219
12 O 0.309 0.364 0.170
13 O 0.364 0.309 0.670
14 O 0.413 0.818 0.602
15 O 0.587 0.182 0.398
16 O 0.636 0.691 0.330
17 O 0.691 0.636 0.830
18 O 0.765 0.968 0.781
19 O 0.818 0.413 0.102
20 O 0.968 0.765 0.281



The following is a DFT calculation (PBE-GGA) of YSi2Ir after structural relaxation.

**N(E_F)**: 2.49 states/eV/f.u.
**Total moment**: 0.000 μB per atom
**Uncorrected formation energy**: -0.46 eV per atom
**E_tot**: -7.007 eV/atom
**Mass density**: 8.2 Mg/m³

Lattice parameters (Å, degrees): 3.160 3.319 6.525 90.00 90.00 90.00
Sites, in units of the cell vectors:
1 Y 0.000 0.000 0.000
2 Si 0.000 0.000 0.501
3 Si 0.500 0.500 0.288
4 Ir 0.500 0.500 0.665



The following is a DFT calculation (PBE-GGA) of SrAuNF2 after structural relaxation.

**N(E_F)**: 0.22 states/eV/f.u.
**Total moment**: 0.408 μB per atom
**Uncorrected formation energy**: -0.66 eV per atom
**E_tot**: -4.070 eV/atom
**E above lowest polymorph**: 347.0 meV per atom
**Mass density**: 4.7 Mg/m³

Lattice parameters (Å, degrees): 4.549 4.549 5.686 90.00 90.00 90.00
Sites, in units of the cell vectors:
1 Sr 0.000 0.000 0.000
2 Au 0.500 0.500 0.500
3 N 0.000 0.000 0.500
4 F 0.000 0.500 0.000
5 F 0.500 0.000 0.000



The following is a DFT calculation (PBE-GGA) of Re2TcBr after structural relaxation.

**N(E_F)**: 4.33 states/eV/f.u.
**Total moment**: 0.000 μB per atom
**Uncorrected formation energy**: 1.22 eV per atom
**E_tot**: -8.012 eV/atom
**E above lowest polymorph**: 655.9 meV per atom
**Mass density**: 14.7 Mg/m³

Lattice parameters (Å, degrees): 4.449 4.449 4.449 60.00 60.00 60.00
Sites, in units of the cell vectors:
1 Re 0.250 0.250 0.250
2 Re 0.750 0.750 0.750
3 Tc 0.000 0.000 0.000
4 Br 0.500 0.500 0.500